Computed, not measured: a relaxed Li2Co2Sb crystal at the GGA-PBE level of DFT.

The structure in POSCAR format:
```
Li2Co2Sb
1.0
6.1249 0.0000 0.0000
0.0000 6.1249 0.0000
0.0000 0.0000 4.2110
Li Co Sb
4 4 2
Direct
0.1647 0.3353 0.0000
0.3353 0.8353 0.0000
0.6647 0.1647 0.0000
0.8353 0.6647 0.0000
0.1271 0.6271 0.5000
0.3729 0.1271 0.5000
0.6271 0.8729 0.5000
0.8729 0.3729 0.5000
0.0000 0.0000 0.5000
0.5000 0.5000 0.5000
```

Properties
* E: -4.3654 eV/atom
* formation energy from raw total energies: 1.5 kcal/mol of atoms
* volume: 158.0 Å³ per cell